Computed, not measured: crystalline Li2MnPbF8 at its relaxed geometry at the PBE with a Hubbard U level of DFT.

a = 5.8723 Å, b = 5.8723 Å, c = 5.8723 Å
α = 109.27°, β = 109.27°, γ = 109.88°
Last column: nearest neighbours and their distance in Å.
Positions (direct):
F  0.9602  0.6468  0.6866  1 Li 1.90
F  0.3111  0.5037  0.1927  1 Li 1.83
F  0.4963  0.6889  0.8073  1 Li 1.83
F  0.8816  0.6889  0.1927  1 Li 1.83
F  0.3532  0.0398  0.3134  1 Li 1.90
F  0.7264  0.0398  0.6866  1 Li 1.90
Li  0.7500  0.2500  0.5000  4 F 1.90
Li  0.5000  0.5000  0.0000  4 F 1.83
F  0.9602  0.2736  0.3134  1 Li 1.90
Pb  0.2500  0.7500  0.5000  8 F 2.13-2.33
F  0.3111  0.1184  0.8073  1 Li 1.83
Mn  0.0000  0.0000  0.0000  4 F 2.15

Properties
- M_tot: 5.00 μB/f.u.
- Crystal system: tetragonal
- E_tot: -4.957 eV/atom